# PBE+U TbMn2BiO6, optimized geometry
data_TbMn2BiO6
_symmetry_space_group_name_H-M 'P 1'
_symmetry_Int_Tables_number 1
_symmetry_space_group_name_Hall 'P 1'
_cell_length_a 5.576
_cell_length_b 5.576
_cell_length_c 5.637
_cell_angle_alpha 60.36
_cell_angle_beta 60.36
_cell_angle_gamma 60.00
loop_
_atom_site_label
_atom_site_type_symbol
_atom_site_fract_x
_atom_site_fract_y
_atom_site_fract_z
_atom_site_occupancy
Tb1 Tb 0.794 0.794 0.617 1
Mn1 Mn 0.516 0.516 0.452 1
Mn2 Mn 0.018 0.018 0.945 1
Bi1 Bi 0.294 0.294 0.117 1
O1 O 0.682 0.249 0.233 1
O2 O 0.249 0.836 0.233 1
O3 O 0.836 0.682 0.233 1
O4 O 0.371 0.730 0.728 1
O5 O 0.730 0.171 0.728 1
O6 O 0.171 0.371 0.728 1
# distance to the lowest polymorph of the same formula: 0 meV per atom